Compound: Nd6InSn
Source: the Alexandria database
Functional: PBE
Structure: relaxed

abc: 4.974 4.974 9.930
angles: 90.00 90.00 90.00
Atoms (fractional coordinates):
Nd 0.000 0.500 0.748
Nd 0.000 0.500 0.252
Nd 0.500 0.000 0.252
Nd 0.500 0.500 0.000
Nd 0.500 0.500 0.500
Nd 0.500 0.000 0.748
Sn 0.000 0.000 0.500
In 0.000 0.000 0.000

Summary:
The value obtained for the final energy is -38.297 eV per formula unit. The value obtained for the energy relative to the elements is -36 kJ/mol of atoms. The value obtained for the density is 7.43 g cm⁻³.

***

Compound: Nd8In2Sn
Source: the Alexandria database
Functional: PBE
Structure: relaxed

abc: 5.341 7.388 9.928
angles: 107.93 105.61 90.00
Atoms (fractional coordinates):
Nd 0.204 0.302 0.409
Nd 0.988 0.240 0.976
Nd 0.796 0.698 0.591
Nd 0.339 0.040 0.679
Nd 0.012 0.760 0.024
Nd 0.406 0.536 0.812
Nd 0.594 0.464 0.188
Nd 0.661 0.960 0.321
In 0.822 0.283 0.645
In 0.178 0.717 0.355
Sn 0.500 0.000 0.000

Summary:
The value obtained for the final energy is -50.693 eV per formula unit. The value obtained for the energy relative to the elements is -27 kJ/mol of atoms. The value obtained for the density is 6.98 g cm⁻³.

***

Compound: Nd2In3Sn3
Source: the Alexandria database
Functional: PBE
Structure: relaxed

abc: 4.679 4.883 9.342
angles: 90.00 90.00 90.00
Atoms (fractional coordinates):
Nd 0.000 0.000 0.249
Nd 0.000 0.000 0.751
Sn 0.500 0.000 0.500
Sn 0.500 0.000 0.000
Sn 0.000 0.500 0.000
In 0.500 0.500 0.254
In 0.500 0.500 0.746
In 0.000 0.500 0.500

Summary:
The value obtained for the final energy is -33.705 eV per formula unit. The value obtained for the energy relative to the elements is -48 kJ/mol of atoms. The value obtained for the density is 7.69 g cm⁻³.

***

Number 1 is which compound? Nd6InSn